AgSbAu | PBE | relaxed

a = 6.543 Å, b = 6.543 Å, c = 6.543 Å
α = 90.00°, β = 90.00°, γ = 90.00°
Fractional positions:
Ag 0.000 0.000 0.000
Ag 0.000 0.500 0.500
Ag 0.500 0.000 0.500
Ag 0.500 0.500 0.000
Sb 0.250 0.250 0.250
Sb 0.250 0.750 0.750
Sb 0.750 0.250 0.750
Sb 0.750 0.750 0.250
Au 0.000 0.000 0.500
Au 0.000 0.500 0.000
Au 0.500 0.000 0.000
Au 0.500 0.500 0.500

Properties
energy above the most stable polymorph in this dataset: 0.0080 eV per atom